No. 1
Material: BaClF
Method: DFT, PBE-GGA
State: optimized geometry

Output
energy relative to the lowest polymorph listed for this composition	0	meV/atom
formation energy without anion corrections	-3.2561	eV per atom
VASP energy	-5.136	eV/atom

a = 4.4476 Å, b = 4.4476 Å, c = 7.3558 Å
α = 90.00°, β = 90.00°, γ = 90.00°
Closest atoms and distances in Å follow each position.
Sites, in units of the cell vectors:
Ba 0.2500 0.2500 0.2054  4 F 2.69
Ba 0.7500 0.7500 0.7946  4 F 2.69
Cl 0.2500 0.2500 0.6472  5 Ba 3.25-3.33, 4 F 3.42
Cl 0.7500 0.7500 0.3528  5 Ba 3.25-3.33, 4 F 3.42
F 0.2500 0.7500 0.0000  4 Ba 2.69
F 0.7500 0.2500 0.0000  4 Ba 2.69


No. 2
Material: In2GeW2
Method: DFT, PBE-GGA
State: optimized geometry

Output
energy relative to the lowest polymorph listed for this composition	331	meV/atom
VASP energy	-6.446	eV/atom
ΔE_f	17.401	kcal/mol of atoms

a = 8.5928 Å, b = 8.5928 Å, c = 2.8148 Å
α = 90.00°, β = 90.00°, γ = 90.00°
Closest atoms and distances in Å follow each position.
Sites, in units of the cell vectors:
In 0.1866 0.3134 0.0000  2 In 2.81, 6 W 2.90-2.96, 2 Ge 3.13
In 0.3134 0.8134 0.0000  2 In 2.81, 6 W 2.90-2.96, 2 Ge 3.13
In 0.6866 0.1866 0.0000  2 In 2.81, 6 W 2.90-2.96, 2 Ge 3.13
In 0.8134 0.6866 0.0000  2 In 2.81, 6 W 2.90-2.96, 2 Ge 3.13
Ge 0.0000 0.0000 0.0000  2 Ge 2.81, 4 In 3.13
Ge 0.5000 0.5000 0.0000  2 Ge 2.81, 4 In 3.13
W 0.1048 0.6048 0.5000  3 W 2.55-2.81
W 0.3952 0.1048 0.5000  3 W 2.55-2.81
W 0.6048 0.8952 0.5000  3 W 2.55-2.81
W 0.8952 0.3952 0.5000  3 W 2.55-2.81


No. 3
Material: NaMg2Au
Method: DFT, PBE-GGA
State: optimized geometry

Output
VASP energy	-2.213	eV/atom
ΔE_f	-6.143	kcal/mol of atoms

a = 3.3917 Å, b = 3.3917 Å, c = 8.0702 Å
α = 90.00°, β = 90.00°, γ = 90.00°
Closest atoms and distances in Å follow each position.
Sites, in units of the cell vectors:
Na 0.0000 0.0000 0.0000  4 Na 3.39, 8 Mg 3.47
Mg 0.5000 0.5000 0.3112  4 Au 2.84, 1 Mg 3.05
Mg 0.5000 0.5000 0.6888  4 Au 2.84, 1 Mg 3.05
Au 0.0000 0.0000 0.5000  8 Mg 2.84


No. 4
Material: Nd4GaCu2
Method: DFT, PBE-GGA
State: optimized geometry

Output
energy relative to the lowest polymorph listed for this composition	31	meV/atom
VASP energy	-4.457	eV/atom
ΔE_f	-2.988	kcal/mol of atoms

a = 9.1544 Å, b = 9.1544 Å, c = 9.1544 Å
α = 31.91°, β = 31.91°, γ = 31.91°
Closest atoms and distances in Å follow each position.
Sites, in units of the cell vectors:
Nd 0.1219 0.1219 0.1219  3 Ga 3.13, 3 Cu 3.18
Nd 0.2926 0.2926 0.2926  4 Cu 2.94-3.02
Nd 0.7074 0.7074 0.7074  4 Cu 2.94-3.02
Nd 0.8781 0.8781 0.8781  3 Ga 3.13, 3 Cu 3.18
Ga 0.5000 0.5000 0.5000  2 Cu 2.46
Cu 0.4054 0.4054 0.4054  1 Ga 2.46
Cu 0.5946 0.5946 0.5946  1 Ga 2.46


No. 5
Material: Tb2DyHo4Sc
Method: DFT, PBE-GGA
State: optimized geometry

Output
VASP energy	-4.782	eV/atom
ΔE_f	0.710	kcal/mol of atoms

a = 4.9555 Å, b = 4.9555 Å, c = 9.8926 Å
α = 90.00°, β = 90.00°, γ = 90.00°
Closest atoms and distances in Å follow each position.
Sites, in units of the cell vectors:
Tb 0.0000 0.0000 0.0000  8 Ho 3.47, 4 Sc 3.50
Tb 0.5000 0.5000 0.5000  4 Dy 3.50, 8 Ho 3.53
Dy 0.0000 0.0000 0.5000  4 Tb 3.50, 8 Ho 3.53
Ho 0.0000 0.5000 0.2452  4 Tb 3.47-3.53, 2 Sc 3.47, 4 Ho 3.50, 2 Dy 3.53
Ho 0.0000 0.5000 0.7548  4 Tb 3.47-3.53, 2 Sc 3.47, 4 Ho 3.50, 2 Dy 3.53
Ho 0.5000 0.0000 0.2452  4 Tb 3.47-3.53, 2 Sc 3.47, 4 Ho 3.50, 2 Dy 3.53
Ho 0.5000 0.0000 0.7548  4 Tb 3.47-3.53, 2 Sc 3.47, 4 Ho 3.50, 2 Dy 3.53
Sc 0.5000 0.5000 0.0000  8 Ho 3.47, 4 Tb 3.50


No. 6
Material: Sc2HgBr2
Method: DFT, PBE-GGA
State: optimized geometry

Output
energy relative to the lowest polymorph listed for this composition	58	meV/atom
formation energy without anion corrections	-0.5497	eV per atom
VASP energy	-3.812	eV/atom

a = 8.0052 Å, b = 8.0052 Å, c = 3.5102 Å
α = 90.00°, β = 90.00°, γ = 90.00°
Closest atoms and distances in Å follow each position.
Sites, in units of the cell vectors:
Sc 0.1536 0.3464 0.0000  6 Br 2.92-2.95, 2 Hg 3.03
Sc 0.3464 0.8464 0.0000  6 Br 2.92-2.95, 2 Hg 3.03
Sc 0.6536 0.1536 0.0000  6 Br 2.92-2.95, 2 Hg 3.03
Sc 0.8464 0.6536 0.0000  6 Br 2.92-2.95, 2 Hg 3.03
Hg 0.0000 0.0000 0.0000  4 Sc 3.03
Hg 0.5000 0.5000 0.0000  4 Sc 3.03
Br 0.1367 0.6367 0.5000  6 Sc 2.92-2.95, 1 Br 3.09
Br 0.3633 0.1367 0.5000  6 Sc 2.92-2.95, 1 Br 3.09
Br 0.6367 0.8633 0.5000  6 Sc 2.92-2.95, 1 Br 3.09
Br 0.8633 0.3633 0.5000  6 Sc 2.92-2.95, 1 Br 3.09


No. 7
Material: Ta2IrRu
Method: DFT, PBE-GGA
State: optimized geometry

Output
VASP energy	-10.573	eV/atom
ΔE_f	-2.591	kcal/mol of atoms

a = 9.2027 Å, b = 9.2027 Å, c = 9.2027 Å
α = 17.96°, β = 17.96°, γ = 17.96°
Closest atoms and distances in Å follow each position.
Sites, in units of the cell vectors:
Ta 0.2502 0.2502 0.2502  3 Ru 2.80, 3 Ir 2.81, 6 Ta 2.87
Ta 0.7498 0.7498 0.7498  3 Ru 2.80, 3 Ir 2.81, 6 Ta 2.87
Ir 0.5000 0.5000 0.5000  6 Ta 2.81, 6 Ir 2.87
Ru 0.0000 0.0000 0.0000  6 Ta 2.80, 6 Ru 2.87


No. 8
Material: NbTlOs2O8
Method: DFT, PBE-GGA
State: optimized geometry

Output
formation energy without anion corrections	-1.1532	eV per atom
VASP energy	-7.367	eV/atom

a = 5.7346 Å, b = 5.7346 Å, c = 7.7850 Å
α = 90.00°, β = 90.00°, γ = 120.00°
Closest atoms and distances in Å follow each position.
Sites, in units of the cell vectors:
Nb 0.0000 0.0000 0.0000  6 O 2.01
Tl 0.0000 0.0000 0.5000  12 O 3.19-3.32
Os 0.3333 0.6667 0.2523  4 O 1.76-1.85
Os 0.6667 0.3333 0.7477  4 O 1.76-1.85
O 0.1659 0.3317 0.1489  1 Os 1.85, 1 Nb 2.01
O 0.1659 0.8341 0.1489  1 Os 1.85, 1 Nb 2.01
O 0.3317 0.1659 0.8511  1 Os 1.85, 1 Nb 2.01
O 0.3333 0.6667 0.4788  1 Os 1.76
O 0.6667 0.3333 0.5212  1 Os 1.76
O 0.6683 0.8341 0.1489  1 Os 1.85, 1 Nb 2.01
O 0.8341 0.1659 0.8511  1 Os 1.85, 1 Nb 2.01
O 0.8341 0.6683 0.8511  1 Os 1.85, 1 Nb 2.01


No. 9
Material: Ag4TeSe2
Method: DFT, PBE-GGA
State: optimized geometry

Output
energy relative to the lowest polymorph listed for this composition	56	meV/atom
formation energy without anion corrections	0.0360	eV per atom
VASP energy	-3.038	eV/atom

a = 8.0496 Å, b = 8.0496 Å, c = 8.0496 Å
α = 119.96°, β = 119.96°, γ = 90.07°
Closest atoms and distances in Å follow each position.
Sites, in units of the cell vectors:
Ag 0.2623 0.2872 0.5249  1 Te 2.71, 3 Se 2.71
Ag 0.2623 0.7374 0.9751  1 Te 2.71, 3 Se 2.71
Ag 0.2626 0.7377 0.5249  1 Te 2.71, 3 Se 2.71
Ag 0.2872 0.2623 0.0249  1 Te 2.71, 3 Se 2.71
Ag 0.7128 0.7377 0.9751  1 Te 2.71, 3 Se 2.71
Ag 0.7374 0.2623 0.4751  1 Te 2.71, 3 Se 2.71
Ag 0.7377 0.2626 0.0249  1 Te 2.71, 3 Se 2.71
Ag 0.7377 0.7128 0.4751  1 Te 2.71, 3 Se 2.71
Te 0.1250 0.8750 0.2500  4 Ag 2.71
Te 0.8750 0.1250 0.7500  4 Ag 2.71
Se 0.0000 0.5000 0.5000  6 Ag 2.71
Se 0.5000 0.0000 0.0000  6 Ag 2.71
Se 0.5000 0.5000 0.0000  6 Ag 2.71
Se 0.5000 0.5000 0.5000  6 Ag 2.71


No. 10
Material: V2Fe2Co5Si
Method: DFT, PBE-GGA
State: optimized geometry

Output
formation energy without anion corrections	-0.0474	eV per atom
VASP energy	-7.659	eV/atom

a = 7.9317 Å, b = 7.9317 Å, c = 3.7164 Å
α = 90.00°, β = 90.00°, γ = 90.00°
Closest atoms and distances in Å follow each position.
Sites, in units of the cell vectors:
V 0.1648 0.3352 0.0000  3 Fe 2.29-2.36
V 0.3352 0.8352 0.0000  3 Fe 2.29-2.36
V 0.6648 0.1648 0.0000  3 Fe 2.29-2.36
V 0.8352 0.6648 0.0000  3 Fe 2.29-2.36
Fe 0.1310 0.6310 0.0000  3 V 2.29-2.36, 6 Co 2.35-2.37
Fe 0.3690 0.1310 0.0000  3 V 2.29-2.36, 6 Co 2.35-2.37
Fe 0.6310 0.8690 0.0000  3 V 2.29-2.36, 6 Co 2.35-2.37
Fe 0.8690 0.3690 0.0000  3 V 2.29-2.36, 6 Co 2.35-2.37
Co 0.0000 0.5000 0.5000  4 Fe 2.37, 4 Co 2.46, 4 V 2.62
Co 0.0718 0.8021 0.5000  2 Fe 2.35, 4 Co 2.36-2.58, 2 Si 2.50
Co 0.1979 0.0718 0.5000  2 Fe 2.35, 4 Co 2.36-2.58, 2 Si 2.50
Co 0.3021 0.5718 0.5000  2 Fe 2.35, 4 Co 2.36-2.58, 2 Si 2.50
Co 0.4282 0.3021 0.5000  2 Fe 2.35, 4 Co 2.36-2.58, 2 Si 2.50
Co 0.5000 0.0000 0.5000  4 Fe 2.37, 4 Co 2.46, 4 V 2.62
Co 0.5718 0.6979 0.5000  2 Fe 2.35, 4 Co 2.36-2.58, 2 Si 2.50
Co 0.6979 0.4282 0.5000  2 Fe 2.35, 4 Co 2.36-2.58, 2 Si 2.50
Co 0.8021 0.9282 0.5000  2 Fe 2.35, 4 Co 2.36-2.58, 2 Si 2.50
Co 0.9282 0.1979 0.5000  2 Fe 2.35, 4 Co 2.36-2.58, 2 Si 2.50
Si 0.0000 0.0000 0.0000  8 Co 2.50
Si 0.5000 0.5000 0.0000  8 Co 2.50


No. 11
Material: LaCuRe
Method: DFT, PBE-GGA
State: optimized geometry

Output
energy relative to the lowest polymorph listed for this composition	0	meV/atom
VASP energy	-6.709	eV/atom
ΔE_f	10.329	kcal/mol of atoms

a = 5.6137 Å, b = 5.6137 Å, c = 5.6137 Å
α = 144.27°, β = 144.27°, γ = 51.42°
Closest atoms and distances in Å follow each position.
Sites, in units of the cell vectors:
La 0.0000 0.0000 0.0000  5 Cu 2.92-3.24, 5 Re 2.96-3.22
Cu 0.2888 0.2888 0.0000  4 Re 2.57
Re 0.7078 0.7078 0.0000  4 Cu 2.57


No. 12
Material: Pr6SiP3S2
Method: DFT, PBE-GGA
State: optimized geometry

Output
formation energy without anion corrections	-1.5785	eV per atom
VASP energy	-6.461	eV/atom

a = 9.3818 Å, b = 9.3818 Å, c = 8.4033 Å
α = 102.87°, β = 102.87°, γ = 25.80°
Closest atoms and distances in Å follow each position.
Sites, in units of the cell vectors:
Pr 0.0000 0.0000 0.2470  3 P 2.95-2.98, 2 Si 2.98, 1 S 3.00
Pr 0.0000 0.0000 0.7530  3 P 2.95-2.98, 2 Si 2.98, 1 S 3.00
Pr 0.3325 0.3325 0.4200  3 P 2.94-2.96, 1 Si 2.98, 2 S 3.01
Pr 0.3353 0.3353 0.9117  3 P 2.92-2.93, 3 S 2.97-2.98
Pr 0.6647 0.6647 0.0883  3 P 2.92-2.93, 3 S 2.97-2.98
Pr 0.6675 0.6675 0.5800  3 P 2.94-2.96, 1 Si 2.98, 2 S 3.01
Si 0.5000 0.5000 0.5000  6 Pr 2.98
P 0.1676 0.1676 0.3319  6 Pr 2.92-2.98
P 0.5000 0.5000 0.0000  6 Pr 2.93-2.95
P 0.8324 0.8324 0.6681  6 Pr 2.92-2.98
S 0.1688 0.1688 0.8376  6 Pr 2.97-3.01
S 0.8312 0.8312 0.1624  6 Pr 2.97-3.01


> The lowest VASP energy belongs to which entry?

Ta2IrRu


> Which value of VASP energy does entry 6 give?

-3.812 eV/atom